VASP calculation (PBE) on a relaxed NpZn6Ga2 crystal.

Properties
- space-group type = P4/mmm, No. 123
- calculated formation energy (eV/atom) = -0.04

Geometry as extended XYZ:
```
9
Lattice="4.078 0.000 0.000 0.000 4.078 0.000 0.000 0.000 9.125" Properties=species:S:1:pos:R:3 pbc="T T T"
Np 0.000 0.000 0.000
Zn 0.000 2.039 2.753
Zn 2.039 0.000 2.753
Zn 0.000 2.039 6.373
Zn 2.039 0.000 6.373
Zn 2.039 2.039 4.563
Zn 0.000 0.000 4.563
Ga 2.039 2.039 1.227
Ga 2.039 2.039 7.899
```

***

VASP calculation (PBE) on a relaxed Np2Zn3Ga4 crystal.

Properties
- space-group type = Cmce, No. 64
- calculated formation energy (eV/atom) = -0.08

Geometry as extended XYZ:
```
18
Lattice="5.679 0.000 0.000 0.000 7.684 0.000 -2.840 0.000 7.650" Properties=species:S:1:pos:R:3 pbc="T T T"
Np 0.000 4.658 1.506
Np 2.840 3.026 6.144
Np 0.000 0.816 6.144
Np 2.840 6.868 1.506
Zn 0.000 0.000 0.000
Zn 2.840 3.842 0.000
Zn 1.420 5.763 4.085
Zn 4.260 1.921 3.564
Zn 1.420 1.921 3.564
Zn -1.420 5.763 4.085
Ga 1.420 5.763 6.637
Ga 4.260 1.921 1.013
Ga 1.420 1.921 1.013
Ga -1.420 5.763 6.637
Ga 0.000 7.542 2.688
Ga 2.840 0.142 4.961
Ga 0.000 3.700 4.961
Ga 2.840 3.984 2.688
```

***

VASP calculation (PBE) on a relaxed NpZn4Ga crystal.

Properties
- space-group type = F-43m, No. 216
- calculated formation energy (eV/atom) = 0.11

Geometry as extended XYZ:
```
6
Lattice="5.360 0.000 0.000 2.680 4.642 0.000 2.680 1.547 4.376" Properties=species:S:1:pos:R:3 pbc="T T T"
Np 0.000 0.000 0.000
Zn 5.360 3.095 0.546
Zn 5.360 1.546 2.736
Zn 6.701 3.869 2.736
Zn 4.019 3.869 2.736
Ga 2.680 1.547 1.094
```

***

VASP calculation (PBE) on a relaxed Np2ZnGa6 crystal.

Properties
- space-group type = Cmmm, No. 65
- calculated formation energy (eV/atom) = 0.05

Geometry as extended XYZ:
```
9
Lattice="-4.448 -1.815 0.313 0.515 -4.620 -1.252 1.335 -1.943 7.714" Properties=species:S:1:pos:R:3 pbc="T T T"
Np -0.959 -4.684 5.352
Np -1.639 -3.694 1.423
Zn 0.000 0.000 0.000
Ga -2.224 -0.908 0.157
Ga -1.556 -1.879 4.014
Ga 0.258 -2.310 -0.626
Ga 0.925 -3.281 3.231
Ga 1.432 -5.953 4.042
Ga 0.419 -0.609 2.420
```

***

VASP calculation (PBE) on a relaxed Np2Zn16Ga crystal.

Properties
- space-group type = R3m, No. 160
- calculated formation energy (eV/atom) = -0.06

Geometry as extended XYZ:
```
19
Lattice="6.763 0.028 0.793 0.709 6.725 0.793 0.031 0.028 6.809" Properties=species:S:1:pos:R:3 pbc="T T T"
Np 4.994 4.514 5.588
Np 2.514 2.272 2.813
Zn 4.740 0.029 2.608
Zn 0.236 2.047 5.002
Zn 2.534 4.713 0.795
Zn 0.506 4.713 2.608
Zn 4.944 2.047 0.795
Zn 2.060 0.029 5.002
Zn 2.986 5.656 3.341
Zn 5.928 2.401 3.341
Zn 2.656 2.401 6.265
Zn 4.508 1.150 5.044
Zn 1.598 4.369 5.044
Zn 4.834 4.369 2.153
Zn 0.372 3.331 0.416
Zn 3.351 0.034 0.416
Zn 0.038 0.034 3.377
Zn 0.737 0.666 0.824
Ga 6.735 6.088 7.537
```

***

VASP calculation (PBE) on a relaxed Np3Zn2Ga3 crystal.

Properties
- space-group type = Cmcm, No. 63
- calculated formation energy (eV/atom) = -0.05

Geometry as extended XYZ:
```
16
Lattice="4.677 0.000 0.000 -2.338 4.968 0.000 0.000 0.000 13.285" Properties=species:S:1:pos:R:3 pbc="T T T"
Np 2.338 4.012 5.173
Np 0.000 0.956 11.815
Np 2.338 4.012 1.470
Np 0.000 0.956 8.113
Np 2.338 2.439 3.321
Np 0.000 2.529 9.964
Zn 2.338 2.858 11.814
Zn 0.000 2.111 5.171
Zn 2.338 2.858 8.114
Zn 0.000 2.111 1.471
Ga 2.338 1.041 5.921
Ga 0.000 3.928 12.564
Ga 2.338 1.041 0.722
Ga 0.000 3.928 7.364
Ga 0.000 4.382 3.321
Ga 2.338 0.587 9.964
```

***

VASP calculation (PBE) on a relaxed NpZnGa6 crystal.

Properties
- space-group type = Cmmm, No. 65
- calculated formation energy (eV/atom) = -0.06

Geometry as extended XYZ:
```
8
Lattice="-1.739 1.839 -3.605 2.666 -4.217 -3.437 -5.516 -1.796 1.745" Properties=species:S:1:pos:R:3 pbc="T T T"
Np -2.295 -2.087 -2.648
Zn -0.869 0.919 -1.802
Ga 0.277 -3.510 -1.924
Ga -3.127 -2.503 0.232
Ga -2.281 -4.810 -1.354
Ga -0.570 -1.202 -0.338
Ga 0.464 -1.189 -3.521
Ga -3.628 0.022 -0.930
```

***

VASP calculation (PBE) on a relaxed NpZnGa2 crystal.

Properties
- space-group type = Fm-3m, No. 225
- calculated formation energy (eV/atom) = 0.01

Geometry as extended XYZ:
```
4
Lattice="-3.141 3.458 0.949 -1.959 0.317 4.334 1.205 3.582 2.904" Properties=species:S:1:pos:R:3 pbc="T T T"
Np 0.000 0.000 0.000
Zn -1.947 3.678 4.094
Ga -0.974 1.839 2.047
Ga -2.921 5.518 6.140
```

***

VASP calculation (PBE) on a relaxed Np2Zn15Ga2 crystal.

Properties
- space-group type = R-3m, No. 166
- calculated formation energy (eV/atom) = -0.06

Geometry as extended XYZ:
```
19
Lattice="5.083 -4.545 -0.056 5.083 4.545 -0.056 1.094 0.000 6.730" Properties=species:S:1:pos:R:3 pbc="T T T"
Np 3.753 0.000 2.206
Np 7.507 0.000 4.413
Zn 2.541 2.272 -0.028
Zn 0.547 0.000 3.365
Zn 2.541 -2.272 -0.028
Zn 3.861 -3.153 2.023
Zn 5.083 1.761 -0.056
Zn 2.316 1.392 4.652
Zn 5.083 -1.761 -0.056
Zn 3.861 3.153 2.023
Zn 2.316 -1.392 4.652
Zn 4.852 -2.186 4.316
Zn 6.771 0.000 1.052
Zn 4.852 2.186 4.316
Zn 6.407 2.186 2.302
Zn 4.488 0.000 5.567
Zn 6.407 -2.186 2.302
Ga 1.128 0.000 0.663
Ga 10.131 0.000 5.955
```

***

VASP calculation (PBE) on a relaxed Np2Zn12Ga5 crystal.

Properties
- space-group type = R-3m, No. 166
- calculated formation energy (eV/atom) = -0.03

Geometry as extended XYZ:
```
19
Lattice="6.858 0.043 0.624 0.574 6.834 0.624 0.047 0.043 6.886" Properties=species:S:1:pos:R:3 pbc="T T T"
Np 5.041 4.665 5.483
Np 2.438 2.256 2.652
Zn 2.555 4.693 0.624
Zn 4.710 0.043 2.599
Zn 0.213 2.185 4.912
Zn 4.877 2.185 0.624
Zn 2.195 0.043 4.912
Zn 0.408 4.693 2.599
Zn 2.660 2.461 6.116
Zn 2.908 5.664 3.163
Zn 5.872 2.461 3.163
Zn 4.571 1.258 4.972
Zn 4.819 4.460 2.019
Zn 1.607 4.460 4.972
Ga 0.023 0.022 3.443
Ga 0.287 3.417 0.312
Ga 3.429 0.022 0.312
Ga 6.747 6.244 7.339
Ga 0.732 0.677 0.796
```

***

VASP calculation (PBE) on a relaxed ZrNpGa2 crystal.

Properties
- space-group type = P4/mmm, No. 123
- calculated formation energy (eV/atom) = -0.28

Geometry as extended XYZ:
```
4
Lattice="3.040 0.000 0.000 0.000 3.040 0.000 0.000 0.000 8.521" Properties=species:S:1:pos:R:3 pbc="T T T"
Np 1.520 1.520 4.261
Ga 0.000 0.000 6.498
Ga 0.000 0.000 2.023
Zr 1.520 1.520 0.000
```

***

VASP calculation (PBE) on a relaxed Zr2NpGa crystal.

Properties
- space-group type = R-3m, No. 166
- calculated formation energy (eV/atom) = 0.05

Geometry as extended XYZ:
```
4
Lattice="-0.365 -0.184 -3.220 1.312 -2.473 -1.643 -7.737 -5.955 -0.419" Properties=species:S:1:pos:R:3 pbc="T T T"
Np 0.000 0.000 0.000
Ga -3.395 -4.306 -2.641
Zr -1.817 -2.228 -1.302
Zr -4.973 -6.384 -3.979
```

***

VASP calculation (PBE) on a relaxed Zr4NpGa15 crystal.

Properties
- space-group type = P4/mmm, No. 123
- calculated formation energy (eV/atom) = -0.42

Geometry as extended XYZ:
```
20
Lattice="-2.528 -1.078 -3.112 0.280 -3.979 1.151 -16.407 2.454 12.479" Properties=species:S:1:pos:R:3 pbc="T T T"
Zr -3.375 0.505 2.567
Zr -6.575 0.983 5.001
Zr -9.832 1.470 7.478
Zr -13.032 1.949 9.912
Np 0.000 0.000 0.000
Ga -1.124 -2.529 -0.980
Ga -4.441 -2.033 1.542
Ga -7.724 -1.542 4.040
Ga -10.931 -1.062 6.479
Ga -14.214 -0.571 8.976
Ga -2.964 -0.285 -0.263
Ga -6.239 0.205 2.228
Ga -9.468 0.688 4.684
Ga -12.696 1.170 7.139
Ga -15.971 1.660 9.630
Ga -1.560 -1.735 1.869
Ga -4.835 -1.246 4.360
Ga -8.063 -0.763 6.815
Ga -11.292 -0.280 9.271
Ga -14.567 0.210 11.762
```

***

VASP calculation (PBE) on a relaxed ZrNpGa crystal.

Properties
- space-group type = C2/m, No. 12
- calculated formation energy (eV/atom) = -0.09

Geometry as extended XYZ:
```
6
Lattice="4.024 0.000 0.000 2.012 4.863 0.653 2.012 1.903 6.693" Properties=species:S:1:pos:R:3 pbc="T T T"
Np 2.012 1.176 0.552
Np 6.036 5.590 6.795
Zr 4.024 2.038 2.887
Zr 4.024 4.727 4.459
Ga 6.036 4.078 2.389
Ga 2.012 2.688 4.958
```

***

VASP calculation (PBE) on a relaxed ZrNpGa2 crystal.

Properties
- space-group type = R-3m, No. 166
- calculated formation energy (eV/atom) = -0.12

Geometry as extended XYZ:
```
4
Lattice="-0.461 -2.877 0.707 2.331 -1.862 0.298 1.220 0.747 10.200" Properties=species:S:1:pos:R:3 pbc="T T T"
Np 0.000 0.000 0.000
Ga 0.778 -0.976 2.894
Ga 2.312 -3.016 8.311
Zr 1.545 -1.996 5.603
```

***

VASP calculation (PBE) on a relaxed Zr2NpGa crystal.

Properties
- space-group type = Fm-3m, No. 225
- calculated formation energy (eV/atom) = 0.10

Geometry as extended XYZ:
```
4
Lattice="-2.527 -1.916 3.772 -0.327 -4.890 0.516 2.388 -2.255 3.674" Properties=species:S:1:pos:R:3 pbc="T T T"
Np -0.233 -4.531 3.981
Ga 0.000 0.000 0.000
Zr -0.116 -2.265 1.990
Zr -0.349 -6.796 5.971
```

***

VASP calculation (PBE) on a relaxed ZrNpGa6 crystal.

Properties
- space-group type = P4/mmm, No. 123
- calculated formation energy (eV/atom) = -0.36

Geometry as extended XYZ:
```
8
Lattice="-0.743 2.796 -3.009 -3.630 0.984 1.811 3.884 5.938 4.559" Properties=species:S:1:pos:R:3 pbc="T T T"
Zr 1.942 2.969 2.280
Np 0.000 0.000 0.000
Ga -2.187 1.890 -0.599
Ga -0.245 4.859 1.681
Ga 0.615 2.906 -0.347
Ga 2.526 5.829 1.897
Ga -1.572 4.796 -0.946
Ga 1.083 4.923 4.307
```

***

VASP calculation (PBE) on a relaxed Zr2NpGa crystal.

Properties
- space-group type = P4/mmm, No. 123
- calculated formation energy (eV/atom) = -0.08

Geometry as extended XYZ:
```
4
Lattice="-0.045 -0.353 4.009 -3.944 -2.279 -0.245 2.291 -3.932 -0.320" Properties=species:S:1:pos:R:3 pbc="T T T"
Np -0.023 -0.176 2.004
Ga -0.849 -3.282 1.722
Zr 1.146 -1.966 -0.160
Zr -1.972 -1.139 -0.123
```

***

VASP calculation (PBE) on a relaxed ZrNpGa4 crystal.

Properties
- space-group type = F-43m, No. 216
- calculated formation energy (eV/atom) = -0.22

Geometry as extended XYZ:
```
6
Lattice="-0.176 4.297 -3.287 -3.162 4.218 1.228 2.221 4.686 1.550" Properties=species:S:1:pos:R:3 pbc="T T T"
Np 0.000 0.000 0.000
Ga -1.806 5.909 -1.092
Ga 0.880 6.142 -0.931
Ga -0.698 8.248 -0.318
Ga -0.610 6.103 1.323
Zr -0.279 3.300 -0.127
```

***

VASP calculation (PBE) on a relaxed Zr2NpGa crystal.

Properties
- space-group type = P4/mmm, No. 123
- calculated formation energy (eV/atom) = -0.04

Geometry as extended XYZ:
```
4
Lattice="-1.946 -1.860 -1.387 1.646 0.169 -2.536 4.943 -7.207 2.730" Properties=species:S:1:pos:R:3 pbc="T T T"
Np -0.150 -0.846 -1.961
Ga 2.322 -4.449 -0.596
Zr 3.566 -5.199 1.969
Zr 1.377 -2.008 0.761
```

***

VASP calculation (PBE) on a relaxed ZrNp4Ga15 crystal.

Properties
- space-group type = P4/mmm, No. 123
- calculated formation energy (eV/atom) = -0.19

Geometry as extended XYZ:
```
20
Lattice="-0.898 -3.908 1.258 2.657 -1.535 -2.871 15.698 0.912 14.039" Properties=species:S:1:pos:R:3 pbc="T T T"
Zr 0.000 0.000 0.000
Np 3.105 0.180 2.777
Np 6.291 0.365 5.626
Np 9.407 0.546 8.413
Np 12.593 0.732 11.262
Ga 0.879 -2.722 -0.807
Ga 4.022 -2.539 2.004
Ga 7.165 -2.356 4.815
Ga 10.292 -2.175 7.611
Ga 13.435 -1.992 10.422
Ga 1.090 -1.865 2.005
Ga 4.282 -1.679 4.860
Ga 7.400 -1.498 7.649
Ga 10.518 -1.317 10.437
Ga 13.710 -1.131 13.292
Ga 2.867 -0.678 -0.060
Ga 6.060 -0.493 2.795
Ga 9.178 -0.312 5.584
Ga 12.296 -0.131 8.372
Ga 15.488 0.055 11.227
```

***

VASP calculation (PBE) on a relaxed GaO crystal.

Properties
- space-group type = P4_2/mnm, No. 136
- ΔE_f (raw) (meV per atom) = -1294

Geometry as extended XYZ:
```
8
Lattice="-3.321 -0.585 5.606 5.610 0.286 3.353 -0.253 3.022 0.166" Properties=species:S:1:pos:R:3 pbc="T T T"
Ga 0.852 -0.111 3.333
Ga -2.304 1.037 5.401
Ga 4.341 1.686 3.724
Ga 1.438 -0.188 5.626
O 3.434 0.074 3.902
O 1.576 1.289 6.745
O 0.460 1.434 2.380
O -1.145 -0.373 5.057
```

***

VASP calculation (PBE) on a relaxed GaO crystal.

Properties
- space-group type = Cmcm, No. 63
- ΔE_f (raw) (meV per atom) = -1119

Geometry as extended XYZ:
```
4
Lattice="-2.221 2.182 0.570 -1.996 -1.693 -1.298 0.124 -3.222 4.012" Properties=species:S:1:pos:R:3 pbc="T T T"
O -1.943 -0.054 1.415
O -2.151 -2.679 1.870
Ga -2.350 -0.930 3.183
Ga -1.744 -1.803 0.102
```

***

no.,energy (eV/atom),V (Å³/cell)
1,-3.00,151.8
2,-4.72,333.8
3,-3.40,108.9
4,-4.99,181.2
5,-2.66,309.3
6,-6.35,308.7
7,-4.11,150.9
8,-5.06,76.6
9,-2.75,311.5
10,-2.99,322.2
11,-7.16,78.8
12,-8.21,87.5
13,-5.05,357.8
14,-8.26,126.0
15,-7.00,79.1
16,-8.16,84.6
17,-5.32,147.0
18,-8.34,83.8
19,-5.82,112.1
20,-8.31,83.9
21,-5.47,372.3
22,-5.29,130.0
23,-5.11,45.3